Entry 1:
AgPt2Au9 | PBE | optimized geometry

Results
Formation energy   7.4 meV/atom
Fermi-level density of states   3.31 states/eV per cell
Calculated total energy   -44.34 eV for the cell shown

Unit cell a=4.1667 b=4.1667 c=12.1132 alpha=90.00 beta=90.00 gamma=90.00
Atoms (fractional coordinates):
Ag: 0.0000 0.0000 0.0000
Pt: 0.0000 0.0000 0.3351
Pt: 0.0000 0.0000 0.6649
Au: 0.0000 0.5000 0.1696
Au: 0.0000 0.5000 0.5000
Au: 0.0000 0.5000 0.8304
Au: 0.5000 0.0000 0.1696
Au: 0.5000 0.0000 0.5000
Au: 0.5000 0.0000 0.8304
Au: 0.5000 0.5000 0.0000
Au: 0.5000 0.5000 0.3347
Au: 0.5000 0.5000 0.6653

Entry 2:
Te2AsBr | PBE | optimized geometry

Results
Fermi-level density of states   1.03 states/eV per cell
Calculated total energy   -11.89 eV for the cell shown
Excess energy over the best structure of this formula in the dataset   0.246 eV per atom
Formation energy from raw total energies   0.18 eV/atom

Unit cell a=3.7753 b=3.7753 c=7.5881 alpha=90.00 beta=90.00 gamma=90.00
Atoms (fractional coordinates):
Te: 0.0000 0.0000 0.1951
Te: 0.0000 0.0000 0.8049
As: 0.5000 0.5000 0.0000
Br: 0.5000 0.5000 0.5000

Entry 3:
ScCo5H6 | PBE | optimized geometry

Results
Fermi-level density of states   8.13 states/eV per cell
Calculated total energy   -63.21 eV for the cell shown

Unit cell a=4.6903 b=4.6903 c=4.6774 alpha=100.06 beta=100.06 gamma=120.03
Atoms (fractional coordinates):
Sc: 0.0000 0.0000 0.0000
Co: 0.1660 0.8340 0.5000
Co: 0.3341 0.6659 0.0000
Co: 0.5000 0.5000 0.5000
Co: 0.6659 0.3341 0.0000
Co: 0.8340 0.1660 0.5000
H: 0.0829 0.4706 0.2417
H: 0.2848 0.2848 0.7343
H: 0.4706 0.0829 0.2417
H: 0.5294 0.9171 0.7583
H: 0.7152 0.7152 0.2657
H: 0.9171 0.5294 0.7583

Entry 4:
CeNd2In3 | PBE | optimized geometry

Results
Formation energy   -439.9 meV/atom
Fermi-level density of states   9.48 states/eV per cell
Calculated total energy   -26.32 eV for the cell shown
Excess energy over the best structure of this formula in the dataset   0.000 eV per atom

Unit cell a=3.5700 b=3.5700 c=13.4572 alpha=90.00 beta=90.00 gamma=90.00
Atoms (fractional coordinates):
Ce: 0.0000 0.0000 0.0000
Nd: 0.0000 0.0000 0.3344
Nd: 0.0000 0.0000 0.6656
In: 0.5000 0.5000 0.1660
In: 0.5000 0.5000 0.5000
In: 0.5000 0.5000 0.8340

Entry 5:
YTm3Cu2 | PBE | optimized geometry

Results
Formation energy   -1.3 meV/atom
Fermi-level density of states   13.59 states/eV per cell
Calculated total energy   -56.16 eV for the cell shown
Excess energy over the best structure of this formula in the dataset   0.185 eV per atom

Unit cell a=8.2472 b=8.2472 c=8.2472 alpha=131.87 beta=72.63 gamma=129.14
Atoms (fractional coordinates):
Y: 0.0000 0.0000 0.0000
Y: 0.5000 0.5000 0.0000
Tm: 0.0149 0.2500 0.7649
Tm: 0.2500 0.7500 0.5000
Tm: 0.4851 0.2500 0.2351
Tm: 0.5149 0.7500 0.7649
Tm: 0.7500 0.2500 0.5000
Tm: 0.9851 0.7500 0.2351
Cu: 0.1425 0.7069 0.8495
Cu: 0.3575 0.2069 0.5644
Cu: 0.6425 0.7931 0.4356
Cu: 0.8575 0.2931 0.1505

Entry 6:
SrIrCl | PBE | optimized geometry

Results
Fermi-level density of states   3.39 states/eV per cell
Calculated total energy   -32.30 eV for the cell shown
Excess energy over the best structure of this formula in the dataset   0.001 eV per atom
Formation energy from raw total energies   -1.25 eV/atom

Unit cell a=4.2179 b=4.2185 c=11.3581 alpha=89.05 beta=89.20 gamma=61.86
Atoms (fractional coordinates):
Sr: 0.0027 0.0061 0.2928
Sr: 0.9973 0.9939 0.7072
Ir: 0.3250 0.3249 0.4983
Ir: 0.6750 0.6751 0.5017
Cl: 0.3344 0.3293 0.8417
Cl: 0.6656 0.6707 0.1583

Entry 7:
Hf3Al2Zn3 | PBE | optimized geometry

Results
Formation energy   -281.6 meV/atom
Fermi-level density of states   8.07 states/eV per cell
Calculated total energy   -86.84 eV for the cell shown

Unit cell a=5.5070 b=5.5070 c=13.5430 alpha=90.00 beta=90.00 gamma=136.49
Atoms (fractional coordinates):
Hf: 0.0687 0.9313 0.6225
Hf: 0.0687 0.9313 0.8775
Hf: 0.3524 0.6476 0.7500
Hf: 0.6476 0.3524 0.2500
Hf: 0.9313 0.0687 0.1225
Hf: 0.9313 0.0687 0.3775
Al: 0.2174 0.7826 0.0981
Al: 0.2174 0.7826 0.4019
Al: 0.7826 0.2174 0.5981
Al: 0.7826 0.2174 0.9019
Zn: 0.3616 0.6384 0.2500
Zn: 0.3942 0.6058 0.5405
Zn: 0.3942 0.6058 0.9595
Zn: 0.6058 0.3942 0.0405
Zn: 0.6058 0.3942 0.4595
Zn: 0.6384 0.3616 0.7500

Entry 8:
GaSnHg2H | PBE | optimized geometry

Results
Fermi-level density of states   1.87 states/eV per cell
Calculated total energy   -10.10 eV for the cell shown

Unit cell a=5.5779 b=5.5779 c=3.4199 alpha=90.00 beta=90.00 gamma=90.00
Atoms (fractional coordinates):
Ga: 0.0000 0.0000 0.0000
Sn: 0.5000 0.5000 0.5000
Hg: 0.0000 0.5000 0.0000
Hg: 0.5000 0.0000 0.0000
H: 0.0000 0.0000 0.5000